The following is a DFT calculation (PBEsol) of LiCa2Ag after structural relaxation.

Computed properties:
Magnetic moment, μB per formula unit: 0.000
ρ, Mg/m³: 2.75

Lattice parameters (Å, degrees): 4.3931 4.3931 21.1043 90.00 90.00 120.00
Space group R3m (No. 160, hexagonal axes)
Inequivalent atoms, fractional coordinates:
Li 0.0000 0.0000 0.0000 [3 per cell]
Ca 0.0000 0.0000 0.2397 [3 per cell]
Ca 0.0000 0.0000 0.4272 [3 per cell]
Ag 0.0000 0.0000 0.6660 [3 per cell]


The following is a DFT calculation (PBEsol) of LiCa2Ag2 after structural relaxation.

Computed properties:
Magnetic moment, μB per formula unit: 0.000
ρ, Mg/m³: 4.01

Lattice parameters (Å, degrees): 7.806 7.806 4.112 90.00 90.00 90.00
Space group P4/mbm (No. 127)
Inequivalent atoms, fractional coordinates:
Li 0.000 0.000 0.000 [2 per cell]
Ca 0.171 0.329 0.500 [4 per cell]
Ag 0.127 0.627 0.000 [4 per cell]


The following is a DFT calculation (PBEsol) of LiCa2Ag after structural relaxation.

Computed properties:
Magnetic moment, μB per formula unit: 0.000
ρ, Mg/m³: 2.96

Lattice parameters (Å, degrees): 4.545 4.171 11.542 90.00 90.00 90.00
Space group Amm2 (No. 38)
Inequivalent atoms, fractional coordinates:
Li 0.000 0.000 0.000 [2 per cell]
Ca 0.000 0.000 0.294 [2 per cell]
Ca 0.500 0.000 0.585 [2 per cell]
Ag 0.500 0.000 0.870 [2 per cell]


The following is a DFT calculation (PBEsol) of LiCaAg4 after structural relaxation.

Computed properties:
Magnetic moment, μB per formula unit: 0.000
ρ, Mg/m³: 6.68

Lattice parameters (Å, degrees): 7.806 7.806 7.806 90.00 90.00 90.00
Space group F-43m (No. 216)
Inequivalent atoms, fractional coordinates:
Li 0.000 0.000 0.000 [4 per cell]
Ca 0.250 0.250 0.750 [4 per cell]
Ag 0.125 0.125 0.375 [16 per cell]


Computed final energy, in the same sequence as the records: -9.90, -13.99, -10.14, -18.58 eV per formula unit.